Entry 1:
{"formula": "Li2GaSn2", "functional": "PBE", "state": "relaxed", "delta_e_f_ev_per_fu": -0.82, "de_polymorph_mev_per_atom": 44, "cell": [[8.082, 0.000, 0.000], [0.000, 8.082, 0.000], [0.000, 0.000, 3.292]], "species": ["Li", "Li", "Li", "Li", "Ga", "Ga", "Sn", "Sn", "Sn", "Sn"], "frac_coords": [[0.175, 0.325, 0.000], [0.325, 0.825, 0.000], [0.675, 0.175, 0.000], [0.825, 0.675, 0.000], [0.000, 0.000, 0.500], [0.500, 0.500, 0.500], [0.128, 0.628, 0.500], [0.372, 0.128, 0.500], [0.628, 0.872, 0.500], [0.872, 0.372, 0.500]]}



Entry 2:
{"formula": "Li4Ga2Sn", "functional": "PBE", "state": "relaxed", "delta_e_f_ev_per_fu": -0.73, "de_polymorph_mev_per_atom": 22, "cell": [[5.113, 0.000, 0.000], [0.000, 10.493, 0.000], [0.000, 0.000, 5.059]], "species": ["Li", "Li", "Li", "Li", "Li", "Li", "Li", "Li", "Ga", "Ga", "Ga", "Ga", "Sn", "Sn"], "frac_coords": [[0.000, 0.139, 0.000], [0.000, 0.307, 0.500], [0.000, 0.693, 0.500], [0.000, 0.861, 0.000], [0.500, 0.193, 0.500], [0.500, 0.361, 0.000], [0.500, 0.639, 0.000], [0.500, 0.807, 0.500], [0.000, 0.385, 0.000], [0.000, 0.615, 0.000], [0.500, 0.115, 0.000], [0.500, 0.885, 0.000], [0.000, 0.000, 0.500], [0.500, 0.500, 0.500]]}



Entry 3:
{"formula": "LiGa4Sn", "functional": "PBE", "state": "relaxed", "delta_e_f_ev_per_fu": -0.44, "de_polymorph_mev_per_atom": 0, "cell": [[4.475, 0.000, 0.000], [-2.238, 3.876, 0.000], [0.000, 0.000, 6.941]], "species": ["Li", "Ga", "Ga", "Ga", "Ga", "Sn"], "frac_coords": [[0.000, 0.000, 0.000], [0.333, 0.667, 0.212], [0.333, 0.667, 0.788], [0.667, 0.333, 0.212], [0.667, 0.333, 0.788], [0.000, 0.000, 0.500]]}



Entry 4:
{"formula": "Li3Ga2Sn3", "functional": "PBE", "state": "relaxed", "delta_e_f_ev_per_fu": -1.51, "cell": [[2.271, -5.215, 0.000], [2.271, 5.215, 0.000], [0.000, 0.000, 15.241]], "species": ["Li", "Li", "Li", "Li", "Li", "Li", "Ga", "Ga", "Ga", "Ga", "Sn", "Sn", "Sn", "Sn", "Sn", "Sn"], "frac_coords": [[0.053, 0.947, 0.629], [0.053, 0.947, 0.871], [0.314, 0.686, 0.750], [0.686, 0.314, 0.250], [0.947, 0.053, 0.129], [0.947, 0.053, 0.371], [0.229, 0.771, 0.117], [0.229, 0.771, 0.383], [0.771, 0.229, 0.617], [0.771, 0.229, 0.883], [0.372, 0.628, 0.543], [0.372, 0.628, 0.957], [0.399, 0.601, 0.250], [0.601, 0.399, 0.750], [0.628, 0.372, 0.043], [0.628, 0.372, 0.457]]}



Entry 5:
{"formula": "LiGaSn3", "functional": "PBE", "state": "relaxed", "delta_e_f_ev_per_fu": -0.04, "de_polymorph_mev_per_atom": 0, "cell": [[3.909, 2.257, 4.644], [-3.909, 2.257, 4.644], [0.000, -4.514, 4.644]], "species": ["Li", "Li", "Ga", "Ga", "Sn", "Sn", "Sn", "Sn", "Sn", "Sn"], "frac_coords": [[0.105, 0.105, 0.105], [0.895, 0.895, 0.895], [0.408, 0.408, 0.408], [0.592, 0.592, 0.592], [0.001, 0.245, 0.541], [0.245, 0.541, 0.001], [0.459, 0.999, 0.755], [0.541, 0.001, 0.245], [0.755, 0.459, 0.999], [0.999, 0.755, 0.459]]}



Entry 6:
{"formula": "Li6Ga2Sn", "functional": "PBE", "state": "relaxed", "delta_e_f_ev_per_fu": -2.74, "de_polymorph_mev_per_atom": 0, "cell": [[3.943, 2.277, 2.765], [-3.943, 2.277, 2.765], [0.000, -4.553, 2.765]], "species": ["Li", "Li", "Li", "Li", "Li", "Li", "Ga", "Ga", "Sn"], "frac_coords": [[0.000, 0.332, 0.668], [0.000, 0.668, 0.332], [0.332, 0.000, 0.668], [0.332, 0.668, 0.000], [0.668, 0.000, 0.332], [0.668, 0.332, 0.000], [0.154, 0.154, 0.154], [0.846, 0.846, 0.846], [0.500, 0.500, 0.500]]}



Entry 7:
{"formula": "Li7Ga5Sn", "functional": "PBE", "state": "relaxed", "delta_e_f_ev_per_fu": -2.81, "cell": [[-2.728, 4.477, 4.783], [2.728, -4.477, 4.783], [2.728, 4.477, -4.783]], "species": ["Li", "Li", "Li", "Li", "Li", "Li", "Li", "Ga", "Ga", "Ga", "Ga", "Ga", "Sn"], "frac_coords": [[0.000, 0.000, 0.000], [0.306, 0.635, 0.671], [0.310, 0.310, 0.000], [0.452, 0.130, 0.321], [0.809, 0.130, 0.679], [0.873, 0.373, 0.500], [0.964, 0.635, 0.329], [0.134, 0.140, 0.496], [0.134, 0.638, 0.994], [0.380, 0.880, 0.500], [0.644, 0.140, 0.006], [0.644, 0.638, 0.504], [0.675, 0.675, 0.000]]}



Entry 8:
{"formula": "Li6Ga2Sn", "functional": "PBE", "state": "relaxed", "delta_e_f_ev_per_fu": -2.29, "de_polymorph_mev_per_atom": 50, "cell": [[5.557, -6.475, 0.000], [5.557, 6.475, 0.000], [0.000, 0.000, 4.334]], "species": ["Li", "Li", "Li", "Li", "Li", "Li", "Li", "Li", "Li", "Li", "Li", "Li", "Ga", "Ga", "Ga", "Ga", "Sn", "Sn"], "frac_coords": [[0.000, 0.330, 0.500], [0.000, 0.670, 0.500], [0.156, 0.844, 0.000], [0.176, 0.506, 0.000], [0.330, 0.000, 0.500], [0.337, 0.337, 0.500], [0.494, 0.824, 0.000], [0.506, 0.176, 0.000], [0.663, 0.663, 0.500], [0.670, 0.000, 0.500], [0.824, 0.494, 0.000], [0.844, 0.156, 0.000], [0.179, 0.179, 0.000], [0.329, 0.671, 0.500], [0.671, 0.329, 0.500], [0.821, 0.821, 0.000], [0.000, 0.000, 0.500], [0.500, 0.500, 0.000]]}



Entry 9:
{"formula": "Sr2Li3GaSn4", "functional": "PBE", "state": "relaxed", "delta_e_f_ev_per_fu": -4.80, "cell": [[4.495, 0.000, 0.000], [0.000, 4.495, 0.000], [0.000, 0.000, 12.320]], "species": ["Sr", "Sr", "Li", "Li", "Li", "Ga", "Sn", "Sn", "Sn", "Sn"], "frac_coords": [[0.000, 0.500, 0.249], [0.500, 0.000, 0.751], [0.000, 0.000, 0.000], [0.000, 0.500, 0.642], [0.500, 0.000, 0.358], [0.500, 0.500, 0.000], [0.000, 0.000, 0.500], [0.000, 0.500, 0.863], [0.500, 0.000, 0.137], [0.500, 0.500, 0.500]]}



Entry 10:
{"formula": "Sr2LiGa4Sn3", "functional": "PBE", "state": "relaxed", "delta_e_f_ev_per_fu": -3.31, "cell": [[4.722, 0.000, 0.000], [0.000, 4.722, 0.000], [0.000, 0.000, 11.576]], "species": ["Sr", "Sr", "Li", "Ga", "Ga", "Ga", "Ga", "Sn", "Sn", "Sn"], "frac_coords": [[0.000, 0.500, 0.246], [0.500, 0.000, 0.754], [0.500, 0.500, 0.000], [0.000, 0.000, 0.500], [0.000, 0.500, 0.870], [0.500, 0.000, 0.130], [0.500, 0.500, 0.500], [0.000, 0.000, 0.000], [0.000, 0.500, 0.635], [0.500, 0.000, 0.365]]}



Entry 11:
{"formula": "SrLiGaSn2", "functional": "PBE", "state": "relaxed", "delta_e_f_ev_per_fu": -2.11, "cell": [[4.649, 0.000, 0.000], [0.000, 4.649, 0.000], [0.000, 0.000, 12.133]], "species": ["Sr", "Sr", "Li", "Li", "Ga", "Ga", "Sn", "Sn", "Sn", "Sn"], "frac_coords": [[0.000, 0.000, 0.000], [0.500, 0.500, 0.500], [0.000, 0.500, 0.750], [0.500, 0.000, 0.250], [0.000, 0.500, 0.250], [0.500, 0.000, 0.750], [0.000, 0.000, 0.381], [0.000, 0.000, 0.619], [0.500, 0.500, 0.119], [0.500, 0.500, 0.881]]}



Entry 12:
{"formula": "SrLi2Ga2Sn2", "functional": "PBE", "state": "relaxed", "delta_e_f_ev_per_fu": -2.98, "cell": [[2.281, 1.317, 9.035], [-2.281, 1.317, 9.035], [0.000, -2.634, 9.035]], "species": ["Sr", "Li", "Li", "Ga", "Ga", "Sn", "Sn"], "frac_coords": [[0.000, 0.000, 0.000], [0.144, 0.144, 0.144], [0.856, 0.856, 0.856], [0.451, 0.451, 0.451], [0.549, 0.549, 0.549], [0.253, 0.253, 0.253], [0.747, 0.747, 0.747]]}